A geometry-optimized BaHgIr2 structure, computed with PBE.

The structure in POSCAR format:
```
BaHgIr2
1.0
5.2068 0.0000 0.0000
0.0000 3.1622 0.0000
-1.8782 0.0000 5.1179
Ba Hg Ir
1 1 2
direct
0.0000 0.0000 0.0000 Ba
0.0000 0.5000 0.5000 Hg
0.5000 0.0000 0.5000 Ir
0.5000 0.5000 0.0000 Ir
```

Properties
For the volume, the calculation gives 21.07 Å³ per atom. Its formation energy is 0.6707 eV/atom.